1.
ErPaGaOs | GGA-PBE | relaxed Values from VASP.

Computed properties:
E_form: -22.5 kJ per mole of atoms
N(E_F): 1.231 states/eV per atom
uncorrected energy: -29.248 eV for the cell shown
V: 84.7 Å³/cell

```
&SYSTEM
  ibrav = 0, nat = 4, ntyp = 4
/
ATOMIC_SPECIES
Pa 231.04 Pa.upf
Os 190.23 Os.upf
Ga 69.72 Ga.upf
Er 167.26 Er.upf
CELL_PARAMETERS angstrom
4.930 0.000 0.000
2.465 4.270 0.000
2.465 1.423 4.025
ATOMIC_POSITIONS angstrom
Pa 4.930 2.846 2.013
Os 2.465 1.423 1.006
Ga 7.395 4.270 3.019
Er 0.000 0.000 0.000
```

2.
MnGaPCl | GGA-PBE | relaxed Values from VASP.

Computed properties:
N(E_F): 0.840 states/eV per atom
uncorrected energy: -40.598 eV for the cell shown
V: 139.6 Å³/cell
E above lowest polymorph: 40.2 meV/atom
E_form (uncorrected): -211 meV per atom

```
&SYSTEM
  ibrav = 0, nat = 8, ntyp = 4
/
ATOMIC_SPECIES
Mn 54.94 Mn.upf
Ga 69.72 Ga.upf
P 30.97 P.upf
Cl 35.45 Cl.upf
CELL_PARAMETERS angstrom
2.930 0.000 0.000
0.000 2.934 0.000
-2.841 0.000 16.234
ATOMIC_POSITIONS angstrom
Mn 0.325 0.000 1.566
Mn -1.095 1.467 9.683
Ga 0.368 0.000 11.276
Ga 1.788 1.467 3.159
P 0.369 0.000 8.586
P 1.790 1.467 0.469
Cl 0.370 0.000 13.467
Cl 1.791 1.467 5.350
```

3.
CsAs2SeI | GGA-PBE | relaxed Values from VASP.

Computed properties:
N(E_F): 0.867 states/eV per atom
uncorrected energy: -12.759 eV for the cell shown
V: 183.0 Å³/cell
E above lowest polymorph: 0.0 meV/atom
E_form (uncorrected): 486 meV per atom

```
&SYSTEM
  ibrav = 0, nat = 5, ntyp = 4
/
ATOMIC_SPECIES
Cs 132.91 Cs.upf
I 126.90 I.upf
As 74.92 As.upf
Se 78.96 Se.upf
CELL_PARAMETERS angstrom
-5.455 -0.846 -1.141
1.413 -3.710 -4.002
-0.153 -4.249 3.885
ATOMIC_POSITIONS angstrom
Cs -2.098 -4.403 -0.630
I 0.000 0.000 0.000
As 0.706 -1.855 -2.001
As -2.728 -0.423 -0.571
Se -0.077 -2.125 1.942
```

4.
Na3SrCr | GGA-PBE | relaxed Values from VASP.

Computed properties:
E_form: 114.5 kJ per mole of atoms
N(E_F): 1.051 states/eV per atom
uncorrected energy: -9.331 eV for the cell shown
V: 299.0 Å³/cell
E above lowest polymorph: 598.9 meV/atom

```
&SYSTEM
  ibrav = 0, nat = 5, ntyp = 3
/
ATOMIC_SPECIES
Sr 87.62 Sr.upf
Na 22.99 Na.upf
Cr 52.00 Cr.upf
CELL_PARAMETERS angstrom
6.687 0.000 0.000
0.000 6.687 0.000
0.000 0.000 6.687
ATOMIC_POSITIONS angstrom
Sr 0.000 0.000 0.000
Na 0.000 3.343 0.000
Na 0.000 0.000 3.343
Na 3.343 0.000 0.000
Cr 3.343 3.343 3.343
```

5.
Pu3Sb2H | GGA-PBE | relaxed Values from VASP.

Computed properties:
N(E_F): 5.008 states/eV per atom
uncorrected energy: -112.045 eV for the cell shown
V: 297.8 Å³/cell
E above lowest polymorph: 0.0 meV/atom

```
&SYSTEM
  ibrav = 0, nat = 12, ntyp = 3
/
ATOMIC_SPECIES
Pu 244.00 Pu.upf
Sb 121.76 Sb.upf
H 1.01 H.upf
CELL_PARAMETERS angstrom
-0.601 2.014 4.127
-1.811 -5.420 2.381
9.840 -2.190 2.501
ATOMIC_POSITIONS angstrom
Pu 0.000 0.000 0.000
Pu 3.714 -2.798 4.504
Pu 0.245 -1.216 3.227
Pu 7.183 -4.380 5.781
Pu 5.867 -2.116 1.887
Pu 2.161 -5.494 2.996
Sb -0.082 -3.980 4.529
Sb 5.493 -5.019 3.249
Sb 2.535 -2.591 1.633
Sb 7.510 -1.616 4.480
H -0.906 -2.710 1.191
H 4.620 -0.088 3.314
```

6.
BeBIr2 | GGA-PBE | relaxed Values from VASP.

Computed properties:
E_form: -0.4 kJ per mole of atoms
N(E_F): 0.623 states/eV per atom
uncorrected energy: -56.288 eV for the cell shown
V: 100.6 Å³/cell
E above lowest polymorph: 311.9 meV/atom

```
&SYSTEM
  ibrav = 0, nat = 8, ntyp = 3
/
ATOMIC_SPECIES
Be 9.01 Be.upf
B 10.81 B.upf
Ir 192.22 Ir.upf
CELL_PARAMETERS angstrom
6.930 0.000 0.000
0.000 6.930 0.000
3.465 3.465 2.095
ATOMIC_POSITIONS angstrom
Be 3.465 3.465 0.000
Be 3.465 6.930 1.047
B 0.000 0.000 0.000
B 6.930 3.465 1.047
Ir 5.991 1.733 0.524
Ir 0.939 5.198 0.524
Ir 5.198 4.405 1.571
Ir 8.663 9.456 1.571
```

7.
InRhBr2 | GGA-PBE | relaxed Values from VASP.

Computed properties:
N(E_F): 0.506 states/eV per atom
uncorrected energy: -14.459 eV for the cell shown
V: 118.4 Å³/cell
E above lowest polymorph: 20.1 meV/atom
E_form (uncorrected): -256 meV per atom

```
&SYSTEM
  ibrav = 0, nat = 4, ntyp = 3
/
ATOMIC_SPECIES
Rh 102.91 Rh.upf
Br 79.90 Br.upf
In 114.82 In.upf
CELL_PARAMETERS angstrom
-1.457 -3.329 4.135
1.451 -4.679 2.512
3.720 0.956 5.868
ATOMIC_POSITIONS angstrom
Rh 2.320 -4.992 8.305
Br 3.378 0.039 6.018
Br 1.266 -1.837 3.795
In 2.328 -2.832 6.524
```

8.
BePPb2 | GGA-PBE | relaxed Values from VASP.

Computed properties:
E_form: 62.3 kJ per mole of atoms
N(E_F): 0.532 states/eV per atom
uncorrected energy: -13.969 eV for the cell shown
V: 91.7 Å³/cell
E above lowest polymorph: 657.4 meV/atom

```
&SYSTEM
  ibrav = 0, nat = 4, ntyp = 3
/
ATOMIC_SPECIES
Pb 207.20 Pb.upf
P 30.97 P.upf
Be 9.01 Be.upf
CELL_PARAMETERS angstrom
5.320 -0.003 0.066
0.714 5.272 -0.066
-2.230 -3.535 3.291
ATOMIC_POSITIONS angstrom
Pb 5.940 5.186 0.000
Pb 3.112 2.717 0.000
P 0.750 2.185 1.613
Be 3.053 -0.452 1.679
```

9.
LaCrW4 | GGA-PBE | relaxed Values from VASP.

Computed properties:
E_form: 61.3 kJ per mole of atoms
N(E_F): 1.086 states/eV per atom
uncorrected energy: -62.552 eV for the cell shown
V: 115.8 Å³/cell

```
&SYSTEM
  ibrav = 0, nat = 6, ntyp = 3
/
ATOMIC_SPECIES
La 138.91 La.upf
Cr 52.00 Cr.upf
W 183.84 W.upf
CELL_PARAMETERS angstrom
0.000 3.869 3.869
3.869 0.000 3.869
3.869 3.869 0.000
ATOMIC_POSITIONS angstrom
La 0.000 0.000 0.000
Cr 5.804 5.804 5.804
W 2.900 4.838 4.838
W 4.838 4.838 2.900
W 4.838 2.900 4.838
W 2.900 2.900 2.900
```

10.
Ac2CePmSe4 | GGA-PBE | relaxed Values from VASP.

Computed properties:
N(E_F): 1.152 states/eV per atom
uncorrected energy: -47.546 eV for the cell shown
V: 230.3 Å³/cell
E_form (uncorrected): -1838 meV per atom

```
&SYSTEM
  ibrav = 0, nat = 8, ntyp = 4
/
ATOMIC_SPECIES
Ac 227.00 Ac.upf
Ce 140.12 Ce.upf
Pm 145.00 Pm.upf
Se 78.96 Se.upf
CELL_PARAMETERS angstrom
4.305 0.000 0.000
0.000 7.559 -0.184
0.000 2.627 7.014
ATOMIC_POSITIONS angstrom
Ac 0.000 2.627 7.014
Ac 2.153 1.314 3.507
Ce 2.153 3.779 -0.092
Pm 0.000 5.093 3.415
Se 0.000 7.523 5.163
Se 4.305 2.663 1.667
Se 2.153 6.210 1.663
Se 2.153 3.976 5.167
```

11.
YTa2As | GGA-PBE | relaxed Values from VASP.

Computed properties:
E_form: -2.5 kJ per mole of atoms
N(E_F): 1.045 states/eV per atom
uncorrected energy: -34.922 eV for the cell shown
V: 79.8 Å³/cell

```
&SYSTEM
  ibrav = 0, nat = 4, ntyp = 3
/
ATOMIC_SPECIES
Y 88.91 Y.upf
As 74.92 As.upf
Ta 180.95 Ta.upf
CELL_PARAMETERS angstrom
5.304 -0.005 0.000
4.263 3.156 0.000
1.179 0.388 4.761
ATOMIC_POSITIONS angstrom
Y 8.060 2.654 3.571
As 2.687 0.885 1.190
Ta 9.413 3.100 0.176
Ta 5.527 1.820 2.205
```

12.
TbPr2SmTm4 | GGA-PBE | relaxed Values from VASP.

Computed properties:
E_form: 2.3 kJ per mole of atoms
N(E_F): 1.393 states/eV per atom
uncorrected energy: -36.606 eV for the cell shown
V: 257.3 Å³/cell

```
&SYSTEM
  ibrav = 0, nat = 8, ntyp = 4
/
ATOMIC_SPECIES
Tb 158.93 Tb.upf
Pr 140.91 Pr.upf
Sm 150.36 Sm.upf
Tm 168.93 Tm.upf
CELL_PARAMETERS angstrom
5.104 0.000 0.000
0.000 4.981 1.003
0.000 3.022 10.730
ATOMIC_POSITIONS angstrom
Tb 2.552 5.512 11.232
Pr 0.000 3.022 10.730
Pr 2.552 1.511 5.365
Sm 0.000 4.001 5.867
Tm 0.000 6.002 8.809
Tm 5.104 2.000 2.925
Tm 2.552 4.492 3.423
Tm 2.552 3.510 8.310
```

13.
YAg3Bi | GGA-PBE | relaxed Values from VASP.

Computed properties:
E_form: 83.8 kJ per mole of atoms
N(E_F): 0.718 states/eV per atom
uncorrected energy: -14.556 eV for the cell shown
V: 156.0 Å³/cell
E above lowest polymorph: 336.4 meV/atom

```
&SYSTEM
  ibrav = 0, nat = 5, ntyp = 3
/
ATOMIC_SPECIES
Y 88.91 Y.upf
Bi 208.98 Bi.upf
Ag 107.87 Ag.upf
CELL_PARAMETERS angstrom
5.383 0.000 0.000
0.000 5.383 0.000
0.000 0.000 5.383
ATOMIC_POSITIONS angstrom
Y 0.000 0.000 0.000
Bi 2.691 2.691 2.691
Ag 0.000 2.691 0.000
Ag 0.000 0.000 2.691
Ag 2.691 0.000 0.000
```

14.
HfMnCr2 | GGA-PBE | relaxed Values from VASP.

Computed properties:
E_form: 59.6 kJ per mole of atoms
N(E_F): 1.446 states/eV per atom
uncorrected energy: -35.900 eV for the cell shown
V: 58.6 Å³/cell
E above lowest polymorph: 430.2 meV/atom

```
&SYSTEM
  ibrav = 0, nat = 4, ntyp = 3
/
ATOMIC_SPECIES
Hf 178.49 Hf.upf
Mn 54.94 Mn.upf
Cr 52.00 Cr.upf
CELL_PARAMETERS angstrom
2.776 -0.078 -0.176
-0.033 4.149 -2.357
-0.217 0.115 5.037
ATOMIC_POSITIONS angstrom
Hf 1.371 2.036 -1.266
Mn 1.388 -0.039 -0.088
Cr 2.349 3.286 0.922
Cr 0.176 0.900 1.582
```

15.
CdCuIr2 | GGA-PBE | relaxed Values from VASP.

Computed properties:
E_form: 27.0 kJ per mole of atoms
N(E_F): 1.280 states/eV per atom
uncorrected energy: -21.615 eV for the cell shown
V: 61.4 Å³/cell

```
&SYSTEM
  ibrav = 0, nat = 4, ntyp = 3
/
ATOMIC_SPECIES
Cd 112.41 Cd.upf
Cu 63.55 Cu.upf
Ir 192.22 Ir.upf
CELL_PARAMETERS angstrom
2.752 0.008 0.000
-1.287 2.433 0.000
0.000 0.000 9.159
ATOMIC_POSITIONS angstrom
Cd 0.733 1.220 2.290
Cu 0.733 1.220 6.869
Ir 0.000 0.000 9.001
Ir 0.000 0.000 4.737
```

16.
TaTeI2O | GGA-PBE | relaxed Values from VASP.

Computed properties:
N(E_F): 1.043 states/eV per atom
uncorrected energy: -20.238 eV for the cell shown
V: 166.7 Å³/cell
E above lowest polymorph: 945.3 meV/atom
E_form (uncorrected): 563 meV per atom

```
&SYSTEM
  ibrav = 0, nat = 5, ntyp = 4
/
ATOMIC_SPECIES
I 126.90 I.upf
Te 127.60 Te.upf
O 16.00 O.upf
Ta 180.95 Ta.upf
CELL_PARAMETERS angstrom
5.584 0.000 0.000
0.000 5.584 0.000
0.000 0.000 5.346
ATOMIC_POSITIONS angstrom
I 0.000 2.792 0.000
I 2.792 0.000 0.000
Te 0.000 0.000 2.673
O 2.792 2.792 2.673
Ta 0.000 0.000 0.000
```

17.
PrZrHg | GGA-PBE | relaxed Values from VASP.

Computed properties:
E_form: -15.6 kJ per mole of atoms
N(E_F): 1.471 states/eV per atom
uncorrected energy: -28.231 eV for the cell shown
V: 165.6 Å³/cell
E above lowest polymorph: 0.0 meV/atom

```
&SYSTEM
  ibrav = 0, nat = 6, ntyp = 3
/
ATOMIC_SPECIES
Hg 200.59 Hg.upf
Pr 140.91 Pr.upf
Zr 91.22 Zr.upf
CELL_PARAMETERS angstrom
4.510 0.027 -0.208
-0.038 4.510 -0.208
-1.858 -1.885 8.314
ATOMIC_POSITIONS angstrom
Hg 2.520 2.557 5.852
Hg 0.093 0.095 2.047
Pr 0.247 0.250 5.265
Pr 2.367 2.401 2.633
Zr 2.255 0.013 -0.104
Zr -0.019 2.255 -0.104
```

18.
Te2RhSe | GGA-PBE | relaxed Values from VASP.

Computed properties:
N(E_F): 0.843 states/eV per atom
uncorrected energy: -14.998 eV for the cell shown
V: 97.8 Å³/cell
E_form (uncorrected): 530 meV per atom

```
&SYSTEM
  ibrav = 0, nat = 4, ntyp = 3
/
ATOMIC_SPECIES
Te 127.60 Te.upf
Rh 102.91 Rh.upf
Se 78.96 Se.upf
CELL_PARAMETERS angstrom
2.000 0.000 9.413
-1.000 1.732 9.413
-1.000 -1.732 9.413
ATOMIC_POSITIONS angstrom
Te 0.000 0.000 25.717
Te 0.000 0.000 2.524
Rh 0.000 0.000 0.000
Se 0.000 0.000 14.120
```

19.
Na3ReH | GGA-PBE | relaxed Values from VASP.

Computed properties:
N(E_F): 0.856 states/eV per atom
uncorrected energy: -11.380 eV for the cell shown
V: 204.3 Å³/cell
E above lowest polymorph: 595.8 meV/atom

```
&SYSTEM
  ibrav = 0, nat = 5, ntyp = 3
/
ATOMIC_SPECIES
Re 186.21 Re.upf
H 1.01 H.upf
Na 22.99 Na.upf
CELL_PARAMETERS angstrom
5.890 0.000 0.000
0.000 5.890 0.000
0.000 0.000 5.890
ATOMIC_POSITIONS angstrom
Re 0.000 0.000 0.000
H 2.945 2.945 2.945
Na 0.000 2.945 0.000
Na 0.000 0.000 2.945
Na 2.945 0.000 0.000
```

20.
V2CrCu2 | GGA-PBE | relaxed Values from VASP.

Computed properties:
E_form: 41.1 kJ per mole of atoms
N(E_F): 1.135 states/eV per atom
uncorrected energy: -67.845 eV for the cell shown
V: 129.1 Å³/cell
E above lowest polymorph: 0.0 meV/atom

```
&SYSTEM
  ibrav = 0, nat = 10, ntyp = 3
/
ATOMIC_SPECIES
Cr 52.00 Cr.upf
Cu 63.55 Cu.upf
V 50.94 V.upf
CELL_PARAMETERS angstrom
7.090 0.000 0.000
0.000 7.090 0.000
0.000 0.000 2.569
ATOMIC_POSITIONS angstrom
Cr 0.000 0.000 0.000
Cr 3.545 3.545 0.000
Cu 2.699 6.244 0.000
Cu 6.244 4.392 0.000
Cu 4.392 0.846 0.000
Cu 0.846 2.699 0.000
V 1.271 4.816 1.284
V 4.816 5.820 1.284
V 5.820 2.275 1.284
V 2.275 1.271 1.284
```

21.
PmTmHf2 | GGA-PBE | relaxed Values from VASP.

Computed properties:
E_form: 21.0 kJ per mole of atoms
N(E_F): 1.412 states/eV per atom
uncorrected energy: -28.258 eV for the cell shown
V: 104.6 Å³/cell

```
&SYSTEM
  ibrav = 0, nat = 4, ntyp = 3
/
ATOMIC_SPECIES
Tm 168.93 Tm.upf
Hf 178.49 Hf.upf
Pm 145.00 Pm.upf
CELL_PARAMETERS angstrom
3.319 0.000 0.000
1.659 2.874 0.000
1.659 0.958 10.965
ATOMIC_POSITIONS angstrom
Tm 3.319 1.916 5.483
Hf 4.978 2.874 8.178
Hf 1.659 0.958 2.787
Pm 0.000 0.000 0.000
```

22.
Pr5Dy2Ga4 | GGA-PBE | relaxed Values from VASP.

Computed properties:
E_form: -4.9 kJ per mole of atoms
N(E_F): 1.290 states/eV per atom
uncorrected energy: -45.771 eV for the cell shown
V: 366.7 Å³/cell

```
&SYSTEM
  ibrav = 0, nat = 11, ntyp = 3
/
ATOMIC_SPECIES
Pr 140.91 Pr.upf
Dy 162.50 Dy.upf
Ga 69.72 Ga.upf
CELL_PARAMETERS angstrom
4.761 0.000 0.000
0.000 11.411 0.000
-2.380 -5.706 6.749
ATOMIC_POSITIONS angstrom
Pr 0.000 3.782 2.008
Pr 2.380 1.924 4.741
Pr 0.000 7.630 2.008
Pr 2.380 0.000 0.000
Pr 2.380 -1.924 4.741
Dy 2.380 5.706 4.104
Dy 0.000 0.000 2.645
Ga 2.380 5.706 1.243
Ga 0.000 1.602 0.000
Ga 0.000 0.000 5.506
Ga 0.000 9.810 0.000
```

23.
LaZnFe3 | GGA-PBE | relaxed Values from VASP.

Computed properties:
E_form: 160.5 kJ per mole of atoms
N(E_F): 1.032 states/eV per atom
uncorrected energy: -23.271 eV for the cell shown
V: 98.7 Å³/cell

```
&SYSTEM
  ibrav = 0, nat = 5, ntyp = 3
/
ATOMIC_SPECIES
Zn 65.41 Zn.upf
Fe 55.84 Fe.upf
La 138.91 La.upf
CELL_PARAMETERS angstrom
4.621 0.000 0.000
0.000 4.621 0.000
0.000 0.000 4.621
ATOMIC_POSITIONS angstrom
Zn 2.310 2.310 2.310
Fe 0.000 2.310 0.000
Fe 0.000 0.000 2.310
Fe 2.310 0.000 0.000
La 0.000 0.000 0.000
```

24.
Y2TaAl | GGA-PBE | relaxed Values from VASP.

Computed properties:
E_form: 9.8 kJ per mole of atoms
N(E_F): 1.167 states/eV per atom
uncorrected energy: -28.116 eV for the cell shown
V: 94.3 Å³/cell

```
&SYSTEM
  ibrav = 0, nat = 4, ntyp = 3
/
ATOMIC_SPECIES
Y 88.91 Y.upf
Al 26.98 Al.upf
Ta 180.95 Ta.upf
CELL_PARAMETERS angstrom
3.246 0.000 0.000
0.000 4.238 0.000
0.000 0.000 6.856
ATOMIC_POSITIONS angstrom
Y 0.000 0.000 0.005
Y 0.000 0.000 3.423
Al 1.623 2.119 1.714
Ta 1.623 2.119 5.142
```